Entry 1:
# GGA-PBEsol FeAgTe2Mo, optimized geometry
data_FeAgTe2Mo
_chemical_formula_sum 'Fe1 Ag1 Te2 Mo1'
_cell_length_a 5.2239
_cell_length_b 5.2239
_cell_length_c 4.6438
_cell_angle_alpha 90.00
_cell_angle_beta 90.00
_cell_angle_gamma 90.00
_space_group_name_H-M_alt 'P 4/m m m'
_space_group_IT_number 123
_space_group_name_Hall '-P 4 2'
loop_
_atom_site_label
_atom_site_fract_x
_atom_site_fract_y
_atom_site_fract_z
Fe1 0.0000 0.0000 0.0000
Ag1 0.0000 0.0000 0.5000
Te1 0.0000 0.5000 0.5000
Mo1 0.5000 0.5000 0.0000
# Crystal system ... tetragonal
# Final energy ... -4.64 eV/atom



Entry 2:
# GGA-PBEsol FeNi2Ag, optimized geometry
data_FeNi2Ag
_chemical_formula_sum 'Fe4 Ni8 Ag4'
_cell_length_a 5.8148
_cell_length_b 5.8148
_cell_length_c 5.8148
_cell_angle_alpha 90.00
_cell_angle_beta 90.00
_cell_angle_gamma 90.00
_space_group_name_H-M_alt 'F -4 3 m'
_space_group_IT_number 216
_space_group_name_Hall 'F -4 2 3'
loop_
_atom_site_label
_atom_site_fract_x
_atom_site_fract_y
_atom_site_fract_z
Fe1 0.0000 0.0000 0.0000
Ni1 0.0000 0.0000 0.5000
Ni2 0.2500 0.2500 0.7500
Ag1 0.2500 0.2500 0.2500
# Crystal system ... cubic
# ΔE_f ... 318 meV/atom
# Final energy ... -5.83 eV/atom
# Offset from the most stable computed form ... 95.2 meV per atom



Entry 3:
# GGA-PBEsol FeNi2Ag, optimized geometry
data_FeNi2Ag
_chemical_formula_sum 'Fe1 Ni2 Ag1'
_cell_length_a 3.7402
_cell_length_b 3.7402
_cell_length_c 3.4930
_cell_angle_alpha 90.00
_cell_angle_beta 90.00
_cell_angle_gamma 90.00
_space_group_name_H-M_alt 'P 4/m m m'
_space_group_IT_number 123
_space_group_name_Hall '-P 4 2'
loop_
_atom_site_label
_atom_site_fract_x
_atom_site_fract_y
_atom_site_fract_z
Fe1 0.0000 0.0000 0.0000
Ni1 0.0000 0.5000 0.5000
Ag1 0.5000 0.5000 0.0000
# Crystal system ... tetragonal
# ΔE_f ... 223 meV/atom
# Final energy ... -5.92 eV/atom
# Offset from the most stable computed form ... 0.0 meV per atom



Entry 4:
# GGA-PBEsol FeNi2AgO, optimized geometry
data_FeNi2AgO
_chemical_formula_sum 'Fe1 Ni2 Ag1 O1'
_cell_length_a 4.4415
_cell_length_b 4.4415
_cell_length_c 3.3481
_cell_angle_alpha 90.00
_cell_angle_beta 90.00
_cell_angle_gamma 90.00
_space_group_name_H-M_alt 'P 4/m m m'
_space_group_IT_number 123
_space_group_name_Hall '-P 4 2'
loop_
_atom_site_label
_atom_site_fract_x
_atom_site_fract_y
_atom_site_fract_z
Fe1 0.0000 0.0000 0.0000
Ni1 0.0000 0.5000 0.0000
Ag1 0.5000 0.5000 0.5000
O1 0.0000 0.0000 0.5000
# Crystal system ... tetragonal
# Final energy ... -5.58 eV/atom



Entry 5:
# GGA-PBEsol FeAgO2, optimized geometry
data_FeAgO2
_chemical_formula_sum 'Fe2 Ag2 O4'
_cell_length_a 2.8111
_cell_length_b 2.8111
_cell_length_c 12.5943
_cell_angle_alpha 90.00
_cell_angle_beta 90.00
_cell_angle_gamma 120.00
_space_group_name_H-M_alt 'P 63/m m c'
_space_group_IT_number 194
_space_group_name_Hall '-P 6c 2c'
loop_
_atom_site_label
_atom_site_fract_x
_atom_site_fract_y
_atom_site_fract_z
Fe1 0.0000 0.0000 0.0000
Ag1 0.3333 0.6667 0.2500
O1 0.3333 0.6667 0.0793
# Crystal system ... hexagonal
# Final energy ... -6.55 eV/atom



Entry 6:
# GGA-PBEsol FeAgO2, optimized geometry
data_FeAgO2
_chemical_formula_sum 'Fe3 Ag3 O6'
_cell_length_a 2.8126
_cell_length_b 2.8126
_cell_length_c 18.8773
_cell_angle_alpha 90.00
_cell_angle_beta 90.00
_cell_angle_gamma 120.00
_space_group_name_H-M_alt 'R -3 m'
_space_group_IT_number 166
_space_group_name_Hall '-R 3 2"'
loop_
_atom_site_label
_atom_site_fract_x
_atom_site_fract_y
_atom_site_fract_z
Fe1 0.0000 0.0000 0.0000
Ag1 0.0000 0.0000 0.5000
O1 0.0000 0.0000 0.3862
# Crystal system ... trigonal
# Final energy ... -6.55 eV/atom



Entry 7:
# GGA-PBEsol FeAgO2, optimized geometry
data_FeAgO2
_chemical_formula_sum 'Fe4 Ag4 O8'
_cell_length_a 5.4819
_cell_length_b 5.4819
_cell_length_c 5.4819
_cell_angle_alpha 90.00
_cell_angle_beta 90.00
_cell_angle_gamma 90.00
_space_group_name_H-M_alt 'F m -3 m'
_space_group_IT_number 225
_space_group_name_Hall '-F 4 2 3'
loop_
_atom_site_label
_atom_site_fract_x
_atom_site_fract_y
_atom_site_fract_z
Fe1 0.0000 0.0000 0.0000
Ag1 0.0000 0.0000 0.5000
O1 0.2500 0.2500 0.2500
# Crystal system ... cubic
# Final energy ... -5.74 eV/atom



Entry 8:
# GGA-PBEsol RbV2FeAg2O8, optimized geometry
data_RbV2FeAg2O8
_chemical_formula_sum 'Rb1 V2 Fe1 Ag2 O8'
_cell_length_a 5.3016
_cell_length_b 5.3016
_cell_length_c 7.3294
_cell_angle_alpha 90.00
_cell_angle_beta 90.00
_cell_angle_gamma 120.00
_space_group_name_H-M_alt 'P -3'
_space_group_IT_number 147
_space_group_name_Hall '-P 3'
loop_
_atom_site_label
_atom_site_fract_x
_atom_site_fract_y
_atom_site_fract_z
Rb1 0.0000 0.0000 0.0000
V1 0.3333 0.6667 0.7198
Fe1 0.0000 0.0000 0.5000
Ag1 0.3333 0.6667 0.2549
O1 0.0698 0.3189 0.6466
O2 0.3333 0.6667 0.9483
# Crystal system ... trigonal
# Final energy ... -7.19 eV/atom



Entry 9:
# GGA-PBEsol Sr3Fe2Ag2S2O5, optimized geometry
data_Sr3Fe2Ag2S2O5
_chemical_formula_sum 'Sr6 Fe4 Ag4 S4 O10'
_cell_length_a 3.9000
_cell_length_b 3.9000
_cell_length_c 27.0181
_cell_angle_alpha 90.00
_cell_angle_beta 90.00
_cell_angle_gamma 90.00
_space_group_name_H-M_alt 'I 4/m m m'
_space_group_IT_number 139
_space_group_name_Hall '-I 4 2'
loop_
_atom_site_label
_atom_site_fract_x
_atom_site_fract_y
_atom_site_fract_z
Sr1 0.0000 0.0000 0.0000
Sr2 0.0000 0.0000 0.1344
Fe1 0.0000 0.0000 0.4307
Ag1 0.0000 0.5000 0.2500
S1 0.0000 0.0000 0.3161
O1 0.0000 0.0000 0.5000
O2 0.0000 0.5000 0.0756
# Crystal system ... tetragonal
# Final energy ... -6.29 eV/atom



Entry 10:
# GGA-PBEsol Sr6Fe5Ag3Se4O10, optimized geometry
data_Sr6Fe5Ag3Se4O10
_chemical_formula_sum 'Sr12 Fe10 Ag6 Se8 O20'
_cell_length_a 5.5567
_cell_length_b 27.8361
_cell_length_c 5.5563
_cell_angle_alpha 90.00
_cell_angle_beta 90.00
_cell_angle_gamma 90.00
_space_group_name_H-M_alt 'C 2 2 2'
_space_group_IT_number 21
_space_group_name_Hall 'C 2 2'
loop_
_atom_site_label
_atom_site_fract_x
_atom_site_fract_y
_atom_site_fract_z
Sr1 0.2467 0.1209 0.2467
Sr2 0.2500 0.2500 0.2491
Fe1 0.0000 0.5000 0.5000
Fe2 0.2488 0.3176 0.7487
Ag1 0.0000 0.0000 0.0000
Ag2 0.0000 0.0000 0.5000
Ag3 0.0000 0.5000 0.0000
Se1 0.2342 0.4361 0.7343
O1 0.0000 0.1757 0.0000
O2 0.0000 0.1756 0.5000
O3 0.0000 0.3244 0.0000
O4 0.0000 0.3242 0.5000
O5 0.2500 0.2500 0.7501
# Crystal system ... orthorhombic
# Final energy ... -6.35 eV/atom



Entry 11:
# GGA-PBEsol Fe2AgOs, optimized geometry
data_Fe2AgOs
_chemical_formula_sum 'Fe2 Ag1 Os1'
_cell_length_a 2.6435
_cell_length_b 3.6711
_cell_length_c 5.4460
_cell_angle_alpha 90.00
_cell_angle_beta 90.00
_cell_angle_gamma 90.00
_space_group_name_H-M_alt 'P m m m'
_space_group_IT_number 47
_space_group_name_Hall '-P 2 2'
loop_
_atom_site_label
_atom_site_fract_x
_atom_site_fract_y
_atom_site_fract_z
Fe1 0.0000 0.0000 0.2179
Ag1 0.5000 0.5000 0.5000
Os1 0.5000 0.5000 0.0000
# Crystal system ... orthorhombic
# ΔE_f ... 369 meV/atom
# Final energy ... -7.99 eV/atom



Entry 12:
# GGA-PBEsol Fe2AgOs, optimized geometry
data_Fe2AgOs
_chemical_formula_sum 'Fe6 Ag3 Os3'
_cell_length_a 2.6576
_cell_length_b 2.6576
_cell_length_c 26.0459
_cell_angle_alpha 90.00
_cell_angle_beta 90.00
_cell_angle_gamma 120.00
_space_group_name_H-M_alt 'R -3 m'
_space_group_IT_number 166
_space_group_name_Hall '-R 3 2"'
loop_
_atom_site_label
_atom_site_fract_x
_atom_site_fract_y
_atom_site_fract_z
Fe1 0.0000 0.0000 0.2460
Ag1 0.0000 0.0000 0.0000
Os1 0.0000 0.0000 0.5000
# Crystal system ... trigonal
# ΔE_f ... 327 meV/atom
# Final energy ... -8.04 eV/atom



Entry 13:
# GGA-PBEsol FeAgOs3, optimized geometry
data_FeAgOs3
_chemical_formula_sum 'Fe1 Ag1 Os3'
_cell_length_a 4.6427
_cell_length_b 4.6427
_cell_length_c 4.6427
_cell_angle_alpha 90.00
_cell_angle_beta 90.00
_cell_angle_gamma 90.00
_space_group_name_H-M_alt 'P m -3 m'
_space_group_IT_number 221
_space_group_name_Hall '-P 4 2 3'
loop_
_atom_site_label
_atom_site_fract_x
_atom_site_fract_y
_atom_site_fract_z
Fe1 0.0000 0.0000 0.0000
Ag1 0.5000 0.5000 0.5000
Os1 0.0000 0.5000 0.5000
# Crystal system ... cubic
# ΔE_f ... 3451 meV/atom
# Final energy ... -6.33 eV/atom



Entry 14:
# GGA-PBEsol FeAg3Os, optimized geometry
data_FeAg3Os
_chemical_formula_sum 'Fe1 Ag3 Os1'
_cell_length_a 4.5597
_cell_length_b 4.5597
_cell_length_c 4.5597
_cell_angle_alpha 90.00
_cell_angle_beta 90.00
_cell_angle_gamma 90.00
_space_group_name_H-M_alt 'P m -3 m'
_space_group_IT_number 221
_space_group_name_Hall '-P 4 2 3'
loop_
_atom_site_label
_atom_site_fract_x
_atom_site_fract_y
_atom_site_fract_z
Fe1 0.0000 0.0000 0.0000
Ag1 0.0000 0.0000 0.5000
Os1 0.5000 0.5000 0.5000
# Crystal system ... cubic
# ΔE_f ... 1935 meV/atom
# Final energy ... -4.29 eV/atom